[1]
# PBEsol Re5Rh, optimized geometry
data_Re5Rh
_space_group_name_H-M_alt 'P 1'
_space_group_IT_number 1
_cell_length_a 4.376
_cell_length_b 4.765
_cell_length_c 4.765
_cell_angle_alpha 120.00
_cell_angle_beta 90.00
_cell_angle_gamma 90.00
loop_
_space_group_symop_operation_xyz
'x,y,z'
loop_
_atom_site_label
_atom_site_type_symbol
_atom_site_fract_x
_atom_site_fract_y
_atom_site_fract_z
Re1 Re 0.000 0.667 0.000
Rh1 Rh 0.500 0.000 0.000
Re2 Re 0.500 0.333 0.667
Re3 Re 0.000 0.000 0.667
Re4 Re 0.500 0.667 0.333
Re5 Re 0.000 0.333 0.333
# Size of the total moment ... 0.000 μB/atom
# Energy relative to the lowest polymorph listed for this composition ... 0.0 meV per atom
# Symmetry ... No. 189
# Energy of formation ... -0.089 eV/atom

[2]
# PBEsol CdAu3I, optimized geometry
data_CdAu3I
_space_group_name_H-M_alt 'P 1'
_space_group_IT_number 1
_cell_length_a 5.293
_cell_length_b 5.293
_cell_length_c 5.293
_cell_angle_alpha 90.00
_cell_angle_beta 90.00
_cell_angle_gamma 90.00
loop_
_space_group_symop_operation_xyz
'x,y,z'
loop_
_atom_site_label
_atom_site_type_symbol
_atom_site_fract_x
_atom_site_fract_y
_atom_site_fract_z
Au1 Au 0.500 0.000 0.000
Au2 Au 0.000 0.000 0.500
Au3 Au 0.000 0.500 0.000
I1 I 0.000 0.000 0.000
Cd1 Cd 0.500 0.500 0.500
# Size of the total moment ... 0.000 μB/atom
# Symmetry ... No. 221
# Energy relative to the elements, uncorrected ... 0.90 eV per atom

[3]
# PBEsol CeMn4Cu3O12, optimized geometry
data_CeMn4Cu3O12
_space_group_name_H-M_alt 'P 1'
_space_group_IT_number 1
_cell_length_a 6.248
_cell_length_b 6.248
_cell_length_c 6.248
_cell_angle_alpha 109.47
_cell_angle_beta 109.47
_cell_angle_gamma 109.47
loop_
_space_group_symop_operation_xyz
'x,y,z'
loop_
_atom_site_label
_atom_site_type_symbol
_atom_site_fract_x
_atom_site_fract_y
_atom_site_fract_z
O1 O 0.822 0.524 0.701
O2 O 0.524 0.701 0.822
O3 O 0.701 0.178 0.879
Cu1 Cu 0.500 0.500 0.000
O4 O 0.879 0.701 0.178
O5 O 0.178 0.476 0.299
Ce1 Ce 0.000 0.000 0.000
O6 O 0.299 0.178 0.476
Cu2 Cu 0.000 0.500 0.500
O7 O 0.701 0.822 0.524
O8 O 0.178 0.879 0.701
O9 O 0.822 0.121 0.299
Mn1 Mn 0.500 0.500 0.500
O10 O 0.476 0.299 0.178
O11 O 0.121 0.299 0.822
Cu3 Cu 0.500 0.000 0.500
Mn2 Mn 0.000 0.500 0.000
O12 O 0.299 0.822 0.121
Mn3 Mn 0.000 0.000 0.500
Mn4 Mn 0.500 0.000 0.000
# Size of the total moment ... 0.484 μB/atom
# Symmetry ... No. 204
# Energy relative to the elements, uncorrected ... -1.64 eV per atom

[4]
# PBEsol LaY2Sc, optimized geometry
data_LaY2Sc
_space_group_name_H-M_alt 'P 1'
_space_group_IT_number 1
_cell_length_a 3.480
_cell_length_b 3.480
_cell_length_c 11.450
_cell_angle_alpha 81.26
_cell_angle_beta 81.26
_cell_angle_gamma 60.00
loop_
_space_group_symop_operation_xyz
'x,y,z'
loop_
_atom_site_label
_atom_site_type_symbol
_atom_site_fract_x
_atom_site_fract_y
_atom_site_fract_z
La1 La 0.500 0.500 0.500
Y1 Y 0.254 0.254 0.237
Y2 Y 0.746 0.746 0.763
Sc1 Sc 0.000 0.000 0.000
# Size of the total moment ... 0.000 μB/atom
# Energy relative to the lowest polymorph listed for this composition ... 9.0 meV per atom
# Symmetry ... No. 166
# Energy of formation ... 0.051 eV/atom

[5]
# PBEsol LiSn2Ir2, optimized geometry
data_LiSn2Ir2
_space_group_name_H-M_alt 'P 1'
_space_group_IT_number 1
_cell_length_a 3.004
_cell_length_b 7.674
_cell_length_c 7.674
_cell_angle_alpha 90.00
_cell_angle_beta 90.00
_cell_angle_gamma 90.00
loop_
_space_group_symop_operation_xyz
'x,y,z'
loop_
_atom_site_label
_atom_site_type_symbol
_atom_site_fract_x
_atom_site_fract_y
_atom_site_fract_z
Ir1 Ir 0.000 0.862 0.638
Sn1 Sn 0.500 0.160 0.660
Ir2 Ir 0.000 0.362 0.862
Li1 Li 0.000 0.000 0.000
Sn2 Sn 0.500 0.840 0.340
Sn3 Sn 0.500 0.340 0.160
Li2 Li 0.000 0.500 0.500
Ir3 Ir 0.000 0.138 0.362
Ir4 Ir 0.000 0.638 0.138
Sn4 Sn 0.500 0.660 0.840
# Size of the total moment ... 0.000 μB/atom
# Energy relative to the lowest polymorph listed for this composition ... 0.0 meV per atom
# Symmetry ... No. 127
# Energy of formation ... -0.256 eV/atom

[6]
# PBEsol YMg5, optimized geometry
data_YMg5
_space_group_name_H-M_alt 'P 1'
_space_group_IT_number 1
_cell_length_a 3.783
_cell_length_b 6.118
_cell_length_c 6.905
_cell_angle_alpha 106.92
_cell_angle_beta 90.00
_cell_angle_gamma 108.01
loop_
_space_group_symop_operation_xyz
'x,y,z'
loop_
_atom_site_label
_atom_site_type_symbol
_atom_site_fract_x
_atom_site_fract_y
_atom_site_fract_z
Mg1 Mg 0.674 0.348 0.830
Mg2 Mg 0.000 0.000 0.500
Mg3 Mg 0.326 0.652 0.170
Y1 Y 0.000 0.000 0.000
Mg4 Mg 0.673 0.346 0.342
Mg5 Mg 0.327 0.654 0.658
# Size of the total moment ... 0.000 μB/atom
# Symmetry ... No. 12
# Energy of formation ... -0.021 eV/atom

[7]
# PBEsol TaAlPb2, optimized geometry
data_TaAlPb2
_space_group_name_H-M_alt 'P 1'
_space_group_IT_number 1
_cell_length_a 5.041
_cell_length_b 5.041
_cell_length_c 5.041
_cell_angle_alpha 60.00
_cell_angle_beta 60.00
_cell_angle_gamma 60.00
loop_
_space_group_symop_operation_xyz
'x,y,z'
loop_
_atom_site_label
_atom_site_type_symbol
_atom_site_fract_x
_atom_site_fract_y
_atom_site_fract_z
Al1 Al 0.500 0.500 0.500
Pb1 Pb 0.000 0.000 0.000
Ta1 Ta 0.250 0.250 0.250
Pb2 Pb 0.750 0.750 0.750
# Size of the total moment ... 0.001 μB/atom
# Symmetry ... No. 216
# Energy of formation ... 0.803 eV/atom

[8]
# PBEsol YB3Pb, optimized geometry
data_YB3Pb
_space_group_name_H-M_alt 'P 1'
_space_group_IT_number 1
_cell_length_a 4.653
_cell_length_b 4.653
_cell_length_c 4.653
_cell_angle_alpha 90.00
_cell_angle_beta 90.00
_cell_angle_gamma 90.00
loop_
_space_group_symop_operation_xyz
'x,y,z'
loop_
_atom_site_label
_atom_site_type_symbol
_atom_site_fract_x
_atom_site_fract_y
_atom_site_fract_z
B1 B 0.000 0.500 0.000
B2 B 0.000 0.000 0.500
B3 B 0.500 0.000 0.000
Y1 Y 0.000 0.000 0.000
Pb1 Pb 0.500 0.500 0.500
# Size of the total moment ... 0.000 μB/atom
# Symmetry ... No. 221
# Energy of formation ... 1.934 eV/atom

[9]
# PBEsol MgPbSe2N, optimized geometry
data_MgPbSe2N
_space_group_name_H-M_alt 'P 1'
_space_group_IT_number 1
_cell_length_a 4.212
_cell_length_b 5.433
_cell_length_c 5.433
_cell_angle_alpha 90.00
_cell_angle_beta 90.00
_cell_angle_gamma 90.00
loop_
_space_group_symop_operation_xyz
'x,y,z'
loop_
_atom_site_label
_atom_site_type_symbol
_atom_site_fract_x
_atom_site_fract_y
_atom_site_fract_z
N1 N 0.500 0.000 0.000
Pb1 Pb 0.000 0.000 0.000
Mg1 Mg 0.500 0.500 0.500
Se1 Se 0.000 0.000 0.500
Se2 Se 0.000 0.500 0.000
# Size of the total moment ... 0.275 μB/atom
# Symmetry ... No. 123
# Energy relative to the elements, uncorrected ... 0.70 eV per atom

[10]
# PBEsol AlI2N, optimized geometry
data_AlI2N
_space_group_name_H-M_alt 'P 1'
_space_group_IT_number 1
_cell_length_a 6.366
_cell_length_b 6.366
_cell_length_c 6.366
_cell_angle_alpha 105.86
_cell_angle_beta 111.31
_cell_angle_gamma 111.31
loop_
_space_group_symop_operation_xyz
'x,y,z'
loop_
_atom_site_label
_atom_site_type_symbol
_atom_site_fract_x
_atom_site_fract_y
_atom_site_fract_z
Al1 Al 0.500 0.750 0.250
I1 I 0.002 0.127 0.625
Al2 Al 0.000 0.000 0.000
N1 N 0.000 0.500 0.500
I2 I 0.502 0.375 0.377
N2 N 0.500 0.250 0.750
I3 I 0.498 0.875 0.873
I4 I 0.998 0.623 0.125
# Size of the total moment ... 0.500 μB/atom
# Symmetry ... No. 122
# Energy relative to the elements, uncorrected ... 1.05 eV per atom